1.
A relaxed structure of DyUOsRh, computed with PBE.

DFT total energy = -0.3281 Ha/atom
magnetic moment = 1.855 μB/cell

abc: 4.824 4.824 4.824
angles: 60.00 60.00 60.00
Fractional coordinates of all 4 atoms:
U 0.750 0.750 0.750
Rh 0.000 0.000 0.000
Os 0.500 0.500 0.500
Dy 0.250 0.250 0.250

=====

2.
A relaxed structure of HoMgH6Rh2, computed with PBE.

DFT total energy = -0.1651 Ha/atom
magnetic moment = 0.000 μB/cell

abc: 4.545 4.545 5.763
angles: 66.78 66.78 60.00
Fractional coordinates of all 10 atoms:
Rh 0.210 0.210 0.371
Rh 0.790 0.790 0.629
H 0.441 0.441 0.178
H 0.559 0.059 0.822
H 0.941 0.441 0.178
H 0.441 0.941 0.178
H 0.559 0.559 0.822
H 0.059 0.559 0.822
Ho 0.000 0.000 0.000
Mg 0.500 0.500 0.500

=====

3.
A relaxed structure of Mg2Zn5Cu2Rh, computed with PBE.

DFT total energy = -0.0994 Ha/atom
magnetic moment = 0.000 μB/cell

abc: 3.937 8.755 8.755
angles: 90.00 90.00 90.00
Fractional coordinates of all 20 atoms:
Rh 0.000 0.000 0.000
Rh 0.000 0.500 0.500
Cu 0.000 0.883 0.383
Cu 0.000 0.617 0.883
Cu 0.000 0.383 0.117
Cu 0.000 0.117 0.617
Zn 0.500 0.000 0.500
Zn 0.500 0.564 0.701
Zn 0.500 0.201 0.064
Zn 0.500 0.436 0.299
Zn 0.500 0.701 0.436
Zn 0.500 0.299 0.564
Zn 0.500 0.799 0.936
Zn 0.500 0.500 0.000
Zn 0.500 0.936 0.201
Zn 0.500 0.064 0.799
Mg 0.000 0.679 0.179
Mg 0.000 0.821 0.679
Mg 0.000 0.179 0.321
Mg 0.000 0.321 0.821

=====

4.
A relaxed structure of Sc4TaIr, computed with PBE.

DFT total energy = -0.2661 Ha/atom
magnetic moment = 0.001 μB/cell

abc: 5.501 5.501 5.501
angles: 60.00 60.00 60.00
Fractional coordinates of all 6 atoms:
Ta 0.750 0.750 0.750
Sc 0.375 0.375 0.874
Sc 0.375 0.874 0.375
Sc 0.874 0.375 0.375
Sc 0.375 0.375 0.375
Ir 0.000 0.000 0.000

=====

magnetic moment of number 1 (DyUOsRh)?
1.855 μB/cell